Crystalline MgCrO3 at its relaxed geometry, computed with PBE with a Hubbard U.

a = 3.785 Å, b = 3.785 Å, c = 3.785 Å
α = 90.00°, β = 90.00°, γ = 90.00°
Space group Pm-3m (No. 221)
One atom of each set of equivalent atoms:
Mg1 0.000 0.000 0.000
Cr1 0.500 0.500 0.500
O1 0.000 0.000 0.500

Calculated values
Magnetization ... 2.0 μB/cell
D(E_F) ... 0.21 states/eV per atom
Total DFT energy (no corrections) ... -5.657 eV per atom